Material: SrNp2N3
Method: DFT, PBE
State: optimized geometry

Cell: 3.5072 6.1409 9.0134 Å, 102.67 90.00 90.00°
Each line ends with the local moment (μB).
Fractional positions:
Sr1 0.2500 0.5290 0.8316  0.11
Sr2 0.7500 0.4710 0.1684  0.11
Np1 0.7500 0.2494 0.5056  3.24
Np2 0.2500 0.7506 0.4944  3.24
Np3 0.2500 0.9813 0.1687  3.47
Np4 0.7500 0.0187 0.8313  3.47
N1 0.7500 0.8932 0.3579  -0.18
N2 0.2500 0.1068 0.6421  -0.18
N3 0.2500 0.1895 0.9892  -0.15
N4 0.7500 0.6548 0.6375  -0.16
N5 0.2500 0.3452 0.3625  -0.16
N6 0.7500 0.8105 0.0108  -0.15

Results
Magnetization   14.0 μB per cell
E above lowest polymorph   0.0 meV/atom